No. 1
# Ba2AgI

An optimized crystal structure of Ba2AgI (PBE, the Alexandria database).

Summary:
SG: Fm-3m, No. 225
Distance to the lowest polymorph of the same formula: 0.715 eV/f.u.
Calculated volume: 156 Å³ per cell
ρ: 5.43 Mg/m³
Uncorrected formation energy: -613 meV/atom

a b c (Å): 6.040 6.040 6.040
angles (deg): 60.00 60.00 60.00
Element x y z (fractional)
Ba: 0.250 0.250 0.250
Ba: 0.750 0.750 0.750
Ag: 0.000 0.000 0.000
I: 0.500 0.500 0.500


No. 2
# Pm2InGe

An optimized crystal structure of Pm2InGe (PBE, the Alexandria database).

Summary:
Formation energy from the elements: -657 meV/atom
SG: Amm2, No. 38
Calculated volume: 111 Å³ per cell
ρ: 7.17 Mg/m³

a b c (Å): 4.235 6.160 6.160
angles (deg): 43.47 90.00 90.00
Element x y z (fractional)
Pm: 0.000 0.000 0.000
Pm: 0.500 0.281 0.281
In: 0.500 0.566 0.566
Ge: 0.000 0.728 0.728


No. 3
# KRePb2

An optimized crystal structure of KRePb2 (PBE, the Alexandria database).

Summary:
Formation energy from the elements: 590 meV/atom
SG: R-3m, No. 166
Distance to the lowest polymorph of the same formula: 0.448 eV/f.u.
Calculated volume: 105 Å³ per cell
ρ: 10.16 Mg/m³

a b c (Å): 10.310 10.310 10.310
angles (deg): 19.29 19.29 19.29
Element x y z (fractional)
K: 0.000 0.000 0.000
Re: 0.500 0.500 0.500
Pb: 0.235 0.235 0.235
Pb: 0.765 0.765 0.765


No. 4
# YNiAsSe2

An optimized crystal structure of YNiAsSe2 (PBE, the Alexandria database).

Summary:
SG: P4/mmm, No. 123
Distance to the lowest polymorph of the same formula: 4.858 eV/f.u.
Calculated volume: 159 Å³ per cell
ρ: 3.97 Mg/m³
Uncorrected formation energy: 489 meV/atom

a b c (Å): 5.397 5.397 5.467
angles (deg): 90.00 90.00 90.00
Element x y z (fractional)
Y: 0.000 0.000 0.000
Ni: 0.500 0.500 0.500
As: 0.000 0.000 0.500
Se: 0.000 0.500 0.000
Se: 0.500 0.000 0.000


No. 5
# Sr2SiBr

An optimized crystal structure of Sr2SiBr (PBE, the Alexandria database).

Summary:
SG: Pmmm, No. 47
Distance to the lowest polymorph of the same formula: 0.201 eV/f.u.
Calculated volume: 121 Å³ per cell
ρ: 3.90 Mg/m³
Uncorrected formation energy: -884 meV/atom

a b c (Å): 3.745 3.851 8.357
angles (deg): 90.00 90.00 90.00
Element x y z (fractional)
Sr: 0.000 0.000 0.219
Sr: 0.000 0.000 0.781
Si: 0.500 0.500 0.000
Br: 0.500 0.500 0.500


No. 6
# Nd2SmGa

An optimized crystal structure of Nd2SmGa (PBE, the Alexandria database).

Summary:
Formation energy from the elements: -72 meV/atom
SG: Fm-3m, No. 225
Distance to the lowest polymorph of the same formula: 0.684 eV/f.u.
Calculated volume: 116 Å³ per cell
ρ: 7.30 Mg/m³

a b c (Å): 5.470 5.470 5.470
angles (deg): 60.00 60.00 60.00
Element x y z (fractional)
Nd: 0.250 0.250 0.250
Nd: 0.750 0.750 0.750
Sm: 0.000 0.000 0.000
Ga: 0.500 0.500 0.500